i) ## Be2ZnHg (PBE-GGA)

Data for a relaxed Be2ZnHg crystal.

The space group is Cmmm (No. 65) and the conventional cell measures 2.6712, 5.6168 and 8.2163 Å, with angles of 90.00, 90.00 and 90.00 degrees. The inequivalent atoms are Be at (0.0000, 0.0000, 0.2360), Zn at (0.0000, 0.5000, 0.0000) and Hg at (0.0000, 0.5000, 0.5000).

ii) ## Be2ZnHg (PBE-GGA)

Data for a relaxed Be2ZnHg crystal.

The space group is I4/mmm (No. 139) and the conventional cell measures 3.9562, 3.9562 and 6.8691 Å, with angles of 90.00, 90.00 and 90.00 degrees. The inequivalent atoms are Be at (0.0000, 0.5000, 0.2500), Zn at (0.0000, 0.0000, 0.0000) and Hg at (0.0000, 0.0000, 0.5000).

iii) ## Be2ZnHg (PBE-GGA)

Data for a relaxed Be2ZnHg crystal.

The space group is P4/mmm (No. 123) and the conventional cell measures 3.1161, 3.1161 and 5.5361 Å, with angles of 90.00, 90.00 and 90.00 degrees. The inequivalent atoms are Be at (0.0000, 0.0000, 0.2103), Zn at (0.5000, 0.5000, 0.0000) and Hg at (0.5000, 0.5000, 0.5000).

iv) ## Be2ZnHg (PBE-GGA)

Data for a relaxed Be2ZnHg crystal.

The space group is C2/m (No. 12) and the conventional cell measures 7.8029, 3.1418 and 4.8197 Å, with angles of 90.00, 98.34 and 90.00 degrees. The inequivalent atoms are Be at (0.2286, 0.0000, 0.1607), Zn at (0.0000, 0.5000, 0.0000) and Hg at (0.0000, 0.0000, 0.5000).

Stability order, top to bottom: iii), iv), ii), i)

i) ## Be2ZnHg (PBE-GGA)

Data for a relaxed Be2ZnHg crystal.

The space group is Imm2 (No. 44) and the conventional cell measures 3.7068, 3.7819 and 7.7676 Å, with angles of 90.00, 90.00 and 90.00 degrees. The inequivalent atoms are Be at (0.0000, 0.0000, 0.0000), Be at (0.0000, 0.5000, 0.2561), Zn at (0.0000, 0.0000, 0.5046) and Hg at (0.0000, 0.5000, 0.7523).

ii) ## Be2ZnHg (PBE-GGA)

Data for a relaxed Be2ZnHg crystal.

The space group is Cm (No. 8) and the conventional cell measures 8.2483, 3.1496 and 4.3953 Å, with angles of 90.00, 101.32 and 90.00 degrees. The inequivalent atoms are Be at (0.0000, 0.0000, 0.0000), Be at (0.2270, 0.5000, 0.2001), Zn at (0.4711, 0.0000, 0.3936) and Hg at (0.2400, 0.0000, 0.7352).

Stability order, top to bottom: ii), i)

i) ## Be2ZnHg (PBE-GGA)

Data for a relaxed Be2ZnHg crystal.

The space group is P4/mmm (No. 123) and the conventional cell measures 3.8882, 3.8882 and 3.5656 Å, with angles of 90.00, 90.00 and 90.00 degrees. The inequivalent atoms are Be at (0.0000, 0.5000, 0.0000), Zn at (0.0000, 0.0000, 0.5000) and Hg at (0.5000, 0.5000, 0.5000).

ii) ## Be2ZnHg (PBE-GGA)

Data for a relaxed Be2ZnHg crystal.

The space group is P2/m (No. 10) and the conventional cell measures 2.9439, 4.0401 and 5.0784 Å, with angles of 90.00, 101.63 and 90.00 degrees. The inequivalent atoms are Be at (0.1656, 0.0000, 0.3100), Zn at (0.5000, 0.5000, 0.5000) and Hg at (0.0000, 0.5000, 0.0000).

Stability order, top to bottom: ii), i)

i) ## BeZnHg2 (PBE-GGA)

Data for a relaxed BeZnHg2 crystal.

The space group is C2/m (No. 12) and the conventional cell measures 8.6736, 3.0353 and 6.1615 Å, with angles of 90.00, 110.74 and 90.00 degrees. The inequivalent atoms are Be at (0.0000, 0.0000, 0.0000), Zn at (0.0000, 0.5000, 0.5000) and Hg at (0.2281, 0.5000, 0.2293).

ii) ## BeZnHg2 (PBE-GGA)

Data for a relaxed BeZnHg2 crystal.

The space group is Pm (No. 6) and the conventional cell measures 3.7033, 4.2937 and 4.9582 Å, with angles of 90.00, 100.90 and 90.00 degrees. The inequivalent atoms are Be at (0.0000, 0.0000, 0.0000), Zn at (0.7298, 0.5000, 0.7679), Hg at (0.3552, 0.5000, 0.1960) and Hg at (0.9413, 0.0000, 0.4909).

iii) ## BeZnHg2 (PBE-GGA)

Data for a relaxed BeZnHg2 crystal.

The space group is F-43m (No. 216) and the conventional cell measures 6.7143, 6.7143 and 6.7143 Å, with angles of 90.00, 90.00 and 90.00 degrees. The inequivalent atoms are Be at (0.0000, 0.0000, 0.0000), Zn at (0.2500, 0.2500, 0.2500), Hg at (0.0000, 0.0000, 0.5000) and Hg at (0.2500, 0.2500, 0.7500).

iv) ## BeZnHg2 (PBE-GGA)

Data for a relaxed BeZnHg2 crystal.

The space group is I-4m2 (No. 119) and the conventional cell measures 4.0649, 4.0649 and 8.7544 Å, with angles of 90.00, 90.00 and 90.00 degrees. The inequivalent atoms are Be at (0.0000, 0.0000, 0.0000), Zn at (0.0000, 0.5000, 0.2500), Hg at (0.0000, 0.0000, 0.5000) and Hg at (0.0000, 0.5000, 0.7500).

Stability order, top to bottom: ii), i), iv), iii)

i) ## BeZnHg2 (PBE-GGA)

Data for a relaxed BeZnHg2 crystal.

The space group is R-3m (No. 166, hexagonal axes) and the conventional cell measures 3.2788, 3.2788 and 23.8202 Å, with angles of 90.00, 90.00 and 120.00 degrees. The inequivalent atoms are Be at (0.0000, 0.0000, 0.0000), Zn at (0.0000, 0.0000, 0.5000) and Hg at (0.0000, 0.0000, 0.2583).

ii) ## BeZnHg2 (PBE-GGA)

Data for a relaxed BeZnHg2 crystal.

The space group is Imm2 (No. 44) and the conventional cell measures 2.8040, 4.3102 and 12.3164 Å, with angles of 90.00, 90.00 and 90.00 degrees. The inequivalent atoms are Be at (0.0000, 0.0000, 0.0000), Zn at (0.0000, 0.5000, 0.3315), Hg at (0.0000, 0.0000, 0.5088) and Hg at (0.0000, 0.5000, 0.7094).

iii) ## BeZnHg2 (PBE-GGA)

Data for a relaxed BeZnHg2 crystal.

The space group is I-42d (No. 122) and the conventional cell measures 4.3490, 4.3490 and 17.2427 Å, with angles of 90.00, 90.00 and 90.00 degrees. The inequivalent atoms are Be at (0.0000, 0.0000, 0.0000), Zn at (0.0000, 0.0000, 0.5000) and Hg at (0.2270, 0.2500, 0.1250).

Stability order, top to bottom: ii), i), iii)

i) ## BeZnHg2 (PBE-GGA)

Data for a relaxed BeZnHg2 crystal.

The space group is Pmm2 (No. 25) and the conventional cell measures 3.6103, 3.8334 and 5.3143 Å, with angles of 90.00, 90.00 and 90.00 degrees. The inequivalent atoms are Be at (0.0000, 0.0000, 0.0000), Zn at (0.5000, 0.5000, 0.7116), Hg at (0.0000, 0.0000, 0.5195) and Hg at (0.5000, 0.5000, 0.1903).

ii) ## BeZnHg2 (PBE-GGA)

Data for a relaxed BeZnHg2 crystal.

The space group is P4mm (No. 99) and the conventional cell measures 2.9836, 2.9836 and 8.2245 Å, with angles of 90.00, 90.00 and 90.00 degrees. The inequivalent atoms are Be at (0.0000, 0.0000, 0.0000), Zn at (0.5000, 0.5000, 0.8520), Hg at (0.0000, 0.0000, 0.5665) and Hg at (0.5000, 0.5000, 0.2231).

iii) ## BeZnHg2 (PBE-GGA)

Data for a relaxed BeZnHg2 crystal.

The space group is P3m1 (No. 156) and the conventional cell measures 4.2732, 4.2732 and 4.9239 Å, with angles of 90.00, 90.00 and 120.00 degrees. The inequivalent atoms are Be at (0.0000, 0.0000, 0.0000), Zn at (0.6667, 0.3333, 0.8455), Hg at (0.0000, 0.0000, 0.5107) and Hg at (0.3333, 0.6667, 0.1306).

Stability order, top to bottom: iii), ii), i)

i) ## BeZnHg2 (PBE-GGA)

Data for a relaxed BeZnHg2 crystal.

The space group is P2/m (No. 10) and the conventional cell measures 3.3319, 3.9843 and 5.7743 Å, with angles of 90.00, 94.42 and 90.00 degrees. The inequivalent atoms are Be at (0.0000, 0.0000, 0.0000), Zn at (0.5000, 0.0000, 0.5000) and Hg at (0.1760, 0.5000, 0.7620).

ii) ## BeZnHg2 (PBE-GGA)

Data for a relaxed BeZnHg2 crystal.

The space group is I4/mmm (No. 139) and the conventional cell measures 4.4099, 4.4099 and 7.3486 Å, with angles of 90.00, 90.00 and 90.00 degrees. The inequivalent atoms are Be at (0.0000, 0.0000, 0.0000), Zn at (0.0000, 0.0000, 0.5000) and Hg at (0.0000, 0.5000, 0.2500).

Stability order, top to bottom: i), ii)

i) ## BeZnHg (PBE-GGA)

Data for a relaxed BeZnHg crystal.

The space group is Fmm2 (No. 42) and the conventional cell measures 2.7560, 5.8579 and 12.8024 Å, with angles of 90.00, 90.00 and 90.00 degrees. The inequivalent atoms are Be at (0.0000, 0.0000, 0.0000), Zn at (0.0000, 0.0000, 0.3541) and Hg at (0.0000, 0.0000, 0.6631).

ii) ## BeZnHg (PBE-GGA)

Data for a relaxed BeZnHg crystal.

The space group is F-43m (No. 216) and the conventional cell measures 5.8177, 5.8177 and 5.8177 Å, with angles of 90.00, 90.00 and 90.00 degrees. The inequivalent atoms are Be at (0.0000, 0.0000, 0.0000), Zn at (0.2500, 0.2500, 0.7500) and Hg at (0.2500, 0.2500, 0.2500).

iii) ## BeZnHg (PBE-GGA)

Data for a relaxed BeZnHg crystal.

The space group is Imm2 (No. 44) and the conventional cell measures 3.4274, 3.5566 and 7.8056 Å, with angles of 90.00, 90.00 and 90.00 degrees. The inequivalent atoms are Be at (0.0000, 0.0000, 0.0000), Zn at (0.0000, 0.0000, 0.3341) and Hg at (0.0000, 0.0000, 0.6676).

iv) ## BeZnHg (PBE-GGA)

Data for a relaxed BeZnHg crystal.

The space group is I4mm (No. 107) and the conventional cell measures 2.9209, 2.9209 and 11.1528 Å, with angles of 90.00, 90.00 and 90.00 degrees. The inequivalent atoms are Be at (0.0000, 0.0000, 0.0000), Zn at (0.0000, 0.0000, 0.6186) and Hg at (0.0000, 0.0000, 0.3310).

Stability order, top to bottom: ii), iv), iii), i)